Here is crystalline Zn2InAs at its relaxed geometry from the Alexandria database. Energies are from PBE.

```
4
Lattice="0.000 3.447 3.447 3.447 0.000 3.447 3.447 3.447 0.000" Properties=species:S:1:pos:R:3 pbc="T T T"
Zn 0.000 0.000 0.000
Zn 1.723 1.723 1.723
In 5.170 5.170 5.170
As 3.447 3.447 3.447
```

Properties
Electronic total energy: -9.16 eV for the cell shown